A geometry-optimized LiCo2OF3 structure, computed with PBE with a Hubbard U.

Values from the calculation:
V in Å³ per atom: 11.4
Calculated total energy in eV/atom: -5.222
Relative energy among the computed polymorphs in meV/atom: 20
Crystal system: monoclinic
Density in kg/m3: 4108

Cell: 6.0473 6.0473 6.0886 Å, 119.18 119.18 60.44°
Last column: nearest neighbours and their distance in Å.
Positions (direct):
Li1 0.0000 0.0000 0.0000  2 O 2.09, 4 F 2.13
Li2 0.0000 0.0000 0.5000  6 F 2.05-2.07
Co1 0.0000 0.5000 0.0000  2 O 1.96, 2 F 2.17
Co2 0.3621 0.3621 0.5684  1 O 1.89, 3 F 2.01-2.02
Co3 0.5000 0.0000 0.0000  2 O 1.96, 2 F 2.17
Co4 0.6379 0.6379 0.4316  1 O 1.89, 3 F 2.01-2.02
O1 0.2402 0.2402 0.1930  3 Co 1.89-1.96, 1 Li 2.09
O2 0.7598 0.7598 0.8070  3 Co 1.89-1.96, 1 Li 2.09
F1 0.2373 0.2373 0.7278  3 Co 2.02-2.20, 1 Li 2.05
F2 0.2366 0.7623 0.7421  2 Co 2.01-2.17, 2 Li 2.07-2.13
F3 0.2377 0.7634 0.2579  2 Co 2.01-2.17, 2 Li 2.07-2.13
F4 0.7623 0.2366 0.7421  2 Co 2.01-2.17, 2 Li 2.07-2.13
F5 0.7634 0.2377 0.2579  2 Co 2.01-2.17, 2 Li 2.07-2.13
F6 0.7627 0.7627 0.2722  3 Co 2.02-2.20, 1 Li 2.05